(1)
## CsRb3Tl (PBE)

Data for CsRb3Tl after structural relaxation.

Unit cell a=5.399 b=15.629 c=15.629 alpha=142.70 beta=90.00 gamma=90.00
Element x y z (fractional)
Cs1 0.250 0.072 0.928
Cs2 0.750 0.928 0.072
Rb1 0.250 0.109 0.443
Rb2 0.250 0.560 0.962
Rb3 0.250 0.594 0.456
Rb4 0.750 0.443 0.109
Rb5 0.750 0.456 0.594
Rb6 0.750 0.962 0.560
Tl1 0.250 0.241 0.296
Tl2 0.750 0.296 0.241

Summary:
The space-group type is Ama2. The energy relative to the elements is -0.013 eV per atom. The energy above the most stable polymorph in this dataset comes out at 0 meV/atom.


(2)
## NaCa2Hg2Bi2 (PBE)

Data for NaCa2Hg2Bi2 after structural relaxation.

Unit cell a=9.648 b=9.648 c=9.648 alpha=32.28 beta=32.28 gamma=32.28
Element x y z (fractional)
Na1 0.000 0.000 0.000
Ca1 0.131 0.131 0.131
Ca2 0.869 0.869 0.869
Hg1 0.443 0.443 0.443
Hg2 0.557 0.557 0.557
Bi1 0.257 0.257 0.257
Bi2 0.743 0.743 0.743

Summary:
The space-group type is R-3m. The energy relative to the elements is -0.401 eV per atom.


(3)
## Zn2AgAu3 (PBE)

Data for Zn2AgAu3 after structural relaxation.

Unit cell a=7.020 b=7.020 c=7.020 alpha=110.08 beta=86.75 gamma=135.51
Element x y z (fractional)
Zn1 0.226 0.121 0.106
Zn2 0.485 0.879 0.606
Zn3 0.515 0.121 0.394
Zn4 0.774 0.879 0.894
Ag1 0.069 0.319 0.750
Ag2 0.931 0.681 0.250
Au1 0.000 0.317 0.317
Au2 0.000 0.683 0.683
Au3 0.500 0.000 0.000
Au4 0.500 0.317 0.817
Au5 0.500 0.500 0.500
Au6 0.500 0.683 0.183

Summary:
The space-group type is Imma. The energy relative to the elements is -0.047 eV per atom. The energy above the most stable polymorph in this dataset comes out at 101 meV/atom.


(4)
## CeYSe2 (PBE)

Data for CeYSe2 after structural relaxation.

Unit cell a=7.252 b=7.252 c=7.252 alpha=33.02 beta=33.02 gamma=33.02
Element x y z (fractional)
Ce1 0.000 0.000 0.000
Y1 0.500 0.500 0.500
Se1 0.246 0.246 0.246
Se2 0.754 0.754 0.754

Summary:
The space-group type is R-3m. The energy above the most stable polymorph in this dataset comes out at 0 meV/atom.


(5)
## RbCd3Pd (PBE)

Data for RbCd3Pd after structural relaxation.

Unit cell a=6.389 b=6.489 c=7.261 alpha=86.73 beta=68.39 gamma=76.31
Element x y z (fractional)
Rb1 0.000 0.000 0.000
Rb2 0.399 0.217 0.383
Cd1 0.014 0.775 0.469
Cd2 0.344 0.381 0.924
Cd3 0.471 0.719 0.150
Cd4 0.504 0.693 0.566
Cd5 0.813 0.259 0.568
Cd6 0.904 0.539 0.840
Pd1 0.610 0.951 0.799
Pd2 0.900 0.517 0.231

Summary:
The space-group type is P1. The energy relative to the elements is -0.119 eV per atom. The energy above the most stable polymorph in this dataset comes out at 74 meV/atom.


(6)
## Mg2ZnPd2 (PBE)

Data for Mg2ZnPd2 after structural relaxation.

Unit cell a=7.195 b=7.195 c=7.195 alpha=149.34 beta=149.34 gamma=43.91
Element x y z (fractional)
Mg1 0.109 0.109 0.000
Mg2 0.891 0.891 0.000
Zn1 0.500 0.500 0.000
Pd1 0.250 0.750 0.500
Pd2 0.750 0.250 0.500

Summary:
The space-group type is I4/mmm. The energy relative to the elements is -0.139 eV per atom.


(7)
## LuHfZr2 (PBE)

Data for LuHfZr2 after structural relaxation.

Unit cell a=4.597 b=4.597 c=4.561 alpha=90.00 beta=90.00 gamma=90.00
Element x y z (fractional)
Lu1 0.000 0.000 0.000
Hf1 0.500 0.500 0.000
Zr1 0.000 0.500 0.500
Zr2 0.500 0.000 0.500

Summary:
The space-group type is P4/mmm. The energy relative to the elements is 0.093 eV per atom. The energy above the most stable polymorph in this dataset comes out at 0 meV/atom.


(8)
## NpTlSiO6 (PBE)

Data for NpTlSiO6 after structural relaxation.

Unit cell a=5.181 b=5.181 c=6.301 alpha=90.00 beta=90.00 gamma=120.00
Element x y z (fractional)
Np1 0.000 0.000 0.000
Tl1 0.667 0.333 0.500
Si1 0.333 0.667 0.000
O1 0.062 0.366 0.165
O2 0.062 0.696 0.835
O3 0.304 0.366 0.835
O4 0.304 0.938 0.165
O5 0.634 0.696 0.165
O6 0.634 0.938 0.835

Summary:
The space-group type is P312. The calculation puts the electronic total energy at -69.7 eV/cell.


(9)
## LiIn2PdRh (PBE)

Data for LiIn2PdRh after structural relaxation.

Unit cell a=5.026 b=5.026 c=4.278 alpha=90.00 beta=90.00 gamma=90.00
Element x y z (fractional)
Li1 0.000 0.000 0.000
In1 0.000 0.500 0.500
In2 0.500 0.000 0.500
Pd1 0.000 0.000 0.500
Rh1 0.500 0.500 0.000

Summary:
The space-group type is P4/mmm. The energy relative to the elements is 0.251 eV per atom.


(10)
## Mg11Cd9In4 (PBE)

Data for Mg11Cd9In4 after structural relaxation.

Unit cell a=12.949 b=12.949 c=3.257 alpha=90.00 beta=90.00 gamma=98.07
Element x y z (fractional)
Mg1 0.000 0.000 0.000
Mg2 0.063 0.404 0.000
Mg3 0.185 0.815 0.000
Mg4 0.220 0.220 0.000
Mg5 0.356 0.644 0.000
Mg6 0.404 0.063 0.000
Mg7 0.596 0.937 0.000
Mg8 0.644 0.356 0.000
Mg9 0.780 0.780 0.000
Mg10 0.815 0.185 0.000
Mg11 0.937 0.596 0.000
Cd1 0.017 0.201 0.500
Cd2 0.140 0.614 0.500
Cd3 0.201 0.017 0.500
Cd4 0.386 0.860 0.500
Cd5 0.500 0.500 0.500
Cd6 0.614 0.140 0.500
Cd7 0.799 0.983 0.500
Cd8 0.860 0.386 0.500
Cd9 0.983 0.799 0.500
In1 0.268 0.431 0.500
In2 0.431 0.268 0.500
In3 0.569 0.732 0.500
In4 0.732 0.569 0.500

Summary:
The space-group type is Cmmm. The energy relative to the elements is -0.084 eV per atom.


(11)
## SrSc4Re (PBE)

Data for SrSc4Re after structural relaxation.

Unit cell a=5.897 b=5.897 c=5.897 alpha=60.00 beta=60.00 gamma=60.00
Element x y z (fractional)
Sr1 0.000 0.000 0.000
Sc1 0.380 0.380 0.380
Sc2 0.380 0.380 0.861
Sc3 0.380 0.861 0.380
Sc4 0.861 0.380 0.380
Re1 0.750 0.750 0.750

Summary:
The space-group type is F-43m. The energy relative to the elements is 0.759 eV per atom.


(12)
## La4Tb5Sm (PBE)

Data for La4Tb5Sm after structural relaxation.

Unit cell a=8.841 b=8.841 c=11.500 alpha=90.22 beta=90.22 gamma=23.29
Element x y z (fractional)
La1 0.033 0.033 0.249
La2 0.339 0.339 0.250
La3 0.661 0.661 0.750
La4 0.967 0.967 0.751
Tb1 0.173 0.173 0.049
Tb2 0.174 0.174 0.449
Tb3 0.500 0.500 0.000
Tb4 0.826 0.826 0.551
Tb5 0.827 0.827 0.951
Sm1 0.500 0.500 0.500

Summary:
The space-group type is C2/m. The energy relative to the elements is 0.188 eV per atom. The energy above the most stable polymorph in this dataset comes out at 9 meV/atom.


(13)
## TiGa2PN (PBE)

Data for TiGa2PN after structural relaxation.

Unit cell a=4.301 b=4.301 c=4.079 alpha=90.00 beta=90.00 gamma=90.00
Element x y z (fractional)
Ti1 0.000 0.000 0.000
Ga1 0.000 0.500 0.500
Ga2 0.500 0.000 0.500
P1 0.500 0.500 0.000
N1 0.000 0.000 0.500

Summary:
The space-group type is P4/mmm. The calculation puts the electronic total energy at -27.4 eV/cell.


(14)
## Nd2SmMg (PBE)

Data for Nd2SmMg after structural relaxation.

Unit cell a=12.771 b=12.771 c=12.771 alpha=15.88 beta=15.88 gamma=15.88
Element x y z (fractional)
Nd1 0.089 0.089 0.089
Nd2 0.911 0.911 0.911
Sm1 0.500 0.500 0.500
Mg1 0.000 0.000 0.000

Summary:
The space-group type is R-3m. The energy relative to the elements is 0.192 eV per atom. The energy above the most stable polymorph in this dataset comes out at 230 meV/atom.


(15)
## ZrBeAl (PBE)

Data for ZrBeAl after structural relaxation.

Unit cell a=11.498 b=3.756 c=6.516 alpha=90.00 beta=90.00 gamma=90.00
Element x y z (fractional)
Zr1 0.048 0.000 0.234
Zr2 0.250 0.000 0.851
Zr3 0.452 0.000 0.234
Zr4 0.548 0.000 0.766
Zr5 0.750 0.000 0.149
Zr6 0.952 0.000 0.766
Be1 0.087 0.500 0.944
Be2 0.250 0.000 0.445
Be3 0.413 0.500 0.944
Be4 0.587 0.500 0.056
Be5 0.750 0.000 0.555
Be6 0.913 0.500 0.056
Al1 0.126 0.500 0.572
Al2 0.250 0.500 0.195
Al3 0.374 0.500 0.572
Al4 0.626 0.500 0.428
Al5 0.750 0.500 0.805
Al6 0.874 0.500 0.428

Summary:
The space-group type is Pmma. The energy relative to the elements is -0.362 eV per atom. The energy above the most stable polymorph in this dataset comes out at 23 meV/atom.


(16)
## MgAlV3 (PBE)

Data for MgAlV3 after structural relaxation.

Unit cell a=4.539 b=4.539 c=4.539 alpha=90.00 beta=90.00 gamma=90.00
Element x y z (fractional)
Mg1 0.000 0.000 0.000
Al1 0.500 0.500 0.500
V1 0.000 0.500 0.500
V2 0.500 0.000 0.500
V3 0.500 0.500 0.000

Summary:
The space-group type is Pm-3m. The energy relative to the elements is 1.126 eV per atom. The energy above the most stable polymorph in this dataset comes out at 0 meV/atom.


(17)
## NdMg6In6 (PBE)

Data for NdMg6In6 after structural relaxation.

Unit cell a=7.843 b=7.843 c=7.843 alpha=134.49 beta=102.46 gamma=94.79
Element x y z (fractional)
Nd1 0.000 0.000 0.000
Mg1 0.000 0.000 0.500
Mg2 0.000 0.500 0.000
Mg3 0.245 0.500 0.745
Mg4 0.500 0.000 0.000
Mg5 0.500 0.500 0.500
Mg6 0.755 0.500 0.255
In1 0.167 0.667 0.500
In2 0.338 0.338 0.000
In3 0.348 0.000 0.348
In4 0.652 0.000 0.652
In5 0.662 0.662 0.000
In6 0.833 0.333 0.500

Summary:
The space-group type is Immm. The energy relative to the elements is -0.162 eV per atom. The energy above the most stable polymorph in this dataset comes out at 0 meV/atom.


(18)
## RbLiZn3 (PBE)

Data for RbLiZn3 after structural relaxation.

Unit cell a=6.400 b=6.400 c=6.400 alpha=90.00 beta=90.00 gamma=90.00
Element x y z (fractional)
Rb1 0.000 0.000 0.000
Li1 0.500 0.500 0.500
Zn1 0.000 0.000 0.500
Zn2 0.000 0.500 0.000
Zn3 0.500 0.000 0.000

Summary:
The space-group type is Pm-3m. The energy relative to the elements is 0.804 eV per atom. The energy above the most stable polymorph in this dataset comes out at 575 meV/atom.


(19)
## InH3I (PBE)

Data for InH3I after structural relaxation.

Unit cell a=4.304 b=4.304 c=4.304 alpha=90.00 beta=90.00 gamma=90.00
Element x y z (fractional)
In1 0.000 0.000 0.000
H1 0.000 0.500 0.500
H2 0.500 0.000 0.500
H3 0.500 0.500 0.000
I1 0.500 0.500 0.500

Summary:
The space-group type is Pm-3m. The energy above the most stable polymorph in this dataset comes out at 856 meV/atom.


(20)
## Al2Cr (PBE)

Data for Al2Cr after structural relaxation.

Unit cell a=6.719 b=6.719 c=4.065 alpha=90.00 beta=90.00 gamma=152.43
Element x y z (fractional)
Al1 0.067 0.933 0.750
Al2 0.254 0.746 0.250
Al3 0.746 0.254 0.750
Al4 0.933 0.067 0.250
Cr1 0.404 0.596 0.750
Cr2 0.596 0.404 0.250

Summary:
The space-group type is Cmcm. The energy relative to the elements is -0.099 eV per atom.


(21)
## HfBiPtO6 (PBE)

Data for HfBiPtO6 after structural relaxation.

Unit cell a=4.909 b=4.909 c=9.939 alpha=90.00 beta=90.00 gamma=90.00
Element x y z (fractional)
Hf1 0.000 0.000 0.000
Hf2 0.500 0.500 0.500
Bi1 0.000 0.000 0.329
Bi2 0.500 0.500 0.829
Pt1 0.000 0.000 0.662
Pt2 0.500 0.500 0.162
O1 0.176 0.176 0.827
O2 0.196 0.196 0.511
O3 0.209 0.209 0.150
O4 0.291 0.709 0.650
O5 0.304 0.696 0.011
O6 0.324 0.676 0.327
O7 0.676 0.324 0.327
O8 0.696 0.304 0.011
O9 0.709 0.291 0.650
O10 0.791 0.791 0.150
O11 0.804 0.804 0.511
O12 0.824 0.824 0.827

Summary:
The space-group type is P4_2nm. The calculation puts the electronic total energy at -128.2 eV/cell.


(22)
## AcScAu2 (PBE)

Data for AcScAu2 after structural relaxation.

Unit cell a=5.197 b=5.197 c=3.712 alpha=90.00 beta=90.00 gamma=90.00
Element x y z (fractional)
Ac1 0.000 0.000 0.000
Sc1 0.500 0.500 0.000
Au1 0.000 0.500 0.500
Au2 0.500 0.000 0.500

Summary:
The space-group type is P4/mmm. The energy relative to the elements is -0.636 eV per atom. The energy above the most stable polymorph in this dataset comes out at 124 meV/atom.


(23)
## DyCdHg (PBE)

Data for DyCdHg after structural relaxation.

Unit cell a=9.689 b=3.497 c=5.432 alpha=90.00 beta=90.00 gamma=90.00
Element x y z (fractional)
Dy1 0.000 0.000 0.000
Dy2 0.500 0.000 0.000
Cd1 0.000 0.500 0.500
Cd2 0.500 0.500 0.500
Hg1 0.250 0.500 0.154
Hg2 0.750 0.500 0.846

Summary:
The space-group type is Pmma. The energy relative to the elements is -0.092 eV per atom.


(24)
## SmErTmMg (PBE)

Data for SmErTmMg after structural relaxation.

Unit cell a=5.492 b=5.492 c=5.492 alpha=60.00 beta=60.00 gamma=60.00
Element x y z (fractional)
Sm1 0.000 0.000 0.000
Er1 0.500 0.500 0.500
Tm1 0.750 0.750 0.750
Mg1 0.250 0.250 0.250

Summary:
The space-group type is F-43m. The energy relative to the elements is 0.034 eV per atom. The energy above the most stable polymorph in this dataset comes out at 56 meV/atom.